# PBE-GGA Nd4InSb2, optimized geometry
data_Nd4InSb2
_chemical_formula_sum 'Nd8 In2 Sb4'
_cell_length_a 8.6322
_cell_length_b 8.6322
_cell_length_c 8.6273
_cell_angle_alpha 108.97
_cell_angle_beta 108.96
_cell_angle_gamma 110.52
_symmetry_space_group_name_H-M 'P 1'
_symmetry_Int_Tables_number 1
loop_
_symmetry_equiv_pos_as_xyz
'x,y,z'
loop_
_atom_site_label
_atom_site_fract_x
_atom_site_fract_y
_atom_site_fract_z
Sb1 0.6250 0.8751 0.2500
Sb2 0.1249 0.3750 0.7499
Sb3 0.6250 0.3750 0.7500
Sb4 0.6250 0.3750 0.2501
Nd1 0.9333 0.2466 0.3129
Nd2 0.3166 0.5034 0.1871
Nd3 0.3797 0.0664 0.3129
Nd4 0.7535 0.0668 0.6871
Nd5 0.9337 0.6203 0.6871
Nd6 0.3163 0.1295 0.8129
Nd7 0.8704 0.6836 0.1872
Nd8 0.4965 0.6832 0.8128
In1 0.2500 0.7500 0.5000
In2 0.0000 0.0000 0.0000
# VASP energy: -4.96 eV per atom
# ΔE_f (raw): -669 meV/atom
# Space-group type: I4_1/amd, No. 141